The following is a DFT calculation (GGA-PBE) of an optimized crystal structure of Ce4Se3N2.

DOS at the Fermi energy ... 19.51 states/eV/f.u.
M_tot ... 0.451 μB/atom
ρ ... 6.56 Mg/m³
Energy ... -265.87 eV/cell
Space group ... Pnma (62)
Formation energy (no corrections) ... -1.736 eV/atom
Offset from the most stable computed form ... 7 meV per atom

a b c (Å): 6.9004 11.1829 10.8278
angles (deg): 90.00 90.00 90.00
Closest atoms and distances in Å follow each position.
Sites, in units of the cell vectors:
Ce1 0.0986 0.2500 0.1663  2 N 2.31
Ce2 0.1629 0.0543 0.8850  2 N 2.25-2.34
Ce3 0.1629 0.4457 0.8850  2 N 2.25-2.34
Ce4 0.2031 0.2500 0.5279  2 N 2.30
Ce5 0.2969 0.7500 0.0279  2 N 2.30
Ce6 0.3371 0.5543 0.3850  2 N 2.25-2.34
Ce7 0.3371 0.9457 0.3850  2 N 2.25-2.34
Ce8 0.4014 0.7500 0.6663  2 N 2.31
Ce9 0.5986 0.2500 0.3337  2 N 2.31
Ce10 0.6629 0.0543 0.6150  2 N 2.25-2.34
Ce11 0.6629 0.4457 0.6150  2 N 2.25-2.34
Ce12 0.7031 0.2500 0.9721  2 N 2.30
Ce13 0.7969 0.7500 0.4721  2 N 2.30
Ce14 0.8371 0.5543 0.1150  2 N 2.25-2.34
Ce15 0.8371 0.9457 0.1150  2 N 2.25-2.34
Ce16 0.9014 0.7500 0.8337  2 N 2.31
Se1 0.0632 0.5790 0.6372  6 Ce 3.03-3.33
Se2 0.0632 0.9210 0.6372  6 Ce 3.03-3.33
Se3 0.0743 0.7500 0.2600  6 Ce 2.95-3.15
Se4 0.4257 0.2500 0.7600  6 Ce 2.95-3.15
Se5 0.4368 0.0790 0.1372  6 Ce 3.03-3.33
Se6 0.4368 0.4210 0.1372  6 Ce 3.03-3.33
Se7 0.5632 0.5790 0.8628  6 Ce 3.03-3.33
Se8 0.5632 0.9210 0.8628  6 Ce 3.03-3.33
Se9 0.5743 0.7500 0.2400  6 Ce 2.95-3.15
Se10 0.9257 0.2500 0.7400  6 Ce 2.95-3.15
Se11 0.9368 0.0790 0.3628  6 Ce 3.03-3.33
Se12 0.9368 0.4210 0.3628  6 Ce 3.03-3.33
N1 0.0584 0.6195 0.9661  4 Ce 2.25-2.34
N2 0.0584 0.8805 0.9661  4 Ce 2.25-2.34
N3 0.4416 0.1195 0.4661  4 Ce 2.25-2.34
N4 0.4416 0.3805 0.4661  4 Ce 2.25-2.34
N5 0.5584 0.6195 0.5339  4 Ce 2.25-2.34
N6 0.5584 0.8805 0.5339  4 Ce 2.25-2.34
N7 0.9416 0.1195 0.0339  4 Ce 2.25-2.34
N8 0.9416 0.3805 0.0339  4 Ce 2.25-2.34